DFT (GGA-PBE) results for crystalline CuAs2RhSe at its relaxed geometry.

total DFT energy (no corrections): -21.07 eV for the cell shown
relative energy among the computed polymorphs: 0.0 meV per atom
formation energy from raw total energies: 0.632 eV per atom

```
5
Lattice="4.6459 0.0000 0.0000 0.0000 4.6459 0.0000 0.0000 0.0000 5.3193" Properties=species:S:1:pos:R:3 pbc="T T T"
Cu 0.0000 0.0000 0.0000
As 0.0000 2.3230 2.6597
As 2.3230 0.0000 2.6597
Rh 2.3230 2.3230 2.6597
Se 2.3230 2.3230 0.0000
```

***

DFT (GGA-PBE) results for crystalline Ni4Sb at its relaxed geometry.

total DFT energy (no corrections): -54.97 eV for the cell shown
relative energy among the computed polymorphs: 0.0 meV per atom
formation energy from raw total energies: -0.048 eV per atom

```
10
Lattice="-1.9778 2.5718 6.2109 1.9778 -2.5718 6.2109 1.9778 2.5718 -6.2109" Properties=species:S:1:pos:R:3 pbc="T T T"
Ni 0.0000 0.0000 0.0000
Ni 0.0000 0.0844 2.4429
Ni 1.9778 0.0844 3.7679
Ni 1.9778 1.2859 1.3063
Ni 0.0000 2.5718 0.0000
Ni 0.0000 1.2859 4.9045
Ni 0.0000 2.4874 2.4429
Ni 1.9778 2.4874 3.7679
Sb 1.9778 1.2859 -1.3710
Sb 0.0000 1.2859 7.5819
```

***

DFT (GGA-PBE) results for crystalline PrGdTe2 at its relaxed geometry.

total DFT energy (no corrections): -30.39 eV for the cell shown
relative energy among the computed polymorphs: 122.9 meV per atom
formation energy from raw total energies: -1.311 eV per atom

```
4
Lattice="3.8610 0.0000 0.0000 0.0000 3.8610 0.0000 0.0000 0.0000 7.7385" Properties=species:S:1:pos:R:3 pbc="T T T"
Pr 0.0000 0.0000 0.0000
Gd 0.0000 0.0000 3.8692
Te 1.9305 1.9305 1.9772
Te 1.9305 1.9305 5.7613
```

***

- Look up the formation energy from raw total energies of the third one.
  -1.311 eV per atom

***

- Which value of total DFT energy (no corrections) does entry 1 give?
  -21.07 eV for the cell shown